Density functional theory data (PBE-GGA) for an optimized crystal structure of LiEr4Os.

abc: 7.899 7.899 7.899
angles: 102.37 102.37 124.85
Atoms (fractional coordinates):
Os1 0.533 0.033 0.500
Er1 0.750 0.484 0.735
Er2 0.325 0.516 0.809
Er3 0.708 0.516 0.191
Li1 0.185 0.185 0.000
Er4 0.266 0.575 0.309
Li2 0.935 0.435 0.500
Er5 0.750 0.015 0.265
Os2 0.783 0.783 0.000
Er6 0.765 0.000 0.765
Er7 0.266 0.958 0.691
Er8 0.234 0.000 0.235

Calculated values
Space-group type: I4_1md (109)
Total magnetization (μB per formula unit): 0.000
Calculated total energy (eV/cell): -61.1
N(E_F) (states/eV per atom): 1.07

Density functional theory data (PBE-GGA) for an optimized crystal structure of LiEr2Os.

abc: 4.852 4.852 4.852
angles: 60.00 60.00 60.00
Atoms (fractional coordinates):
Er1 0.250 0.250 0.250
Os1 0.000 0.000 0.000
Li1 0.500 0.500 0.500
Er2 0.750 0.750 0.750

Calculated values
Space-group type: Fm-3m (225)
Total magnetization (μB per formula unit): 0.000
ΔE to the lowest computed polymorph (eV per formula unit): 0.00
Calculated total energy (eV/cell): -23.4
N(E_F) (states/eV per atom): 0.68